{"formula": "CrCd2InGa", "functional": "GGA-PBE", "state": "optimized geometry", "lattice_angstrom": [[5.101, 0.000, 0.000], [0.000, 5.101, 0.000], [0.000, 0.000, 5.388]], "species": ["Cr", "Cd", "Cd", "In", "Ga"], "frac_coords": [[0.000, 0.000, 0.000], [0.000, 0.500, 0.500], [0.500, 0.000, 0.500], [0.500, 0.500, 0.000], [0.500, 0.500, 0.500]], "final_energy_ha_per_atom": -0.101}

***

{"formula": "LaCrCdGa2", "functional": "GGA-PBE", "state": "optimized geometry", "lattice_angstrom": [[4.998, 0.000, 0.000], [0.000, 4.998, 0.000], [0.000, 0.000, 5.924]], "species": ["La", "Cr", "Cd", "Ga", "Ga"], "frac_coords": [[0.000, 0.000, 0.000], [0.500, 0.500, 0.000], [0.000, 0.000, 0.500], [0.000, 0.500, 0.500], [0.500, 0.000, 0.500]], "final_energy_ha_per_atom": -0.131}

***

{"formula": "Cr2CdGaN", "functional": "GGA-PBE", "state": "optimized geometry", "lattice_angstrom": [[3.957, 0.000, 0.000], [0.000, 3.957, 0.000], [0.000, 0.000, 4.693]], "species": ["Cr", "Cr", "Cd", "Ga", "N"], "frac_coords": [[0.000, 0.500, 0.000], [0.500, 0.000, 0.000], [0.000, 0.000, 0.500], [0.500, 0.500, 0.500], [0.000, 0.000, 0.000]], "de_polymorph_ev_per_atom": 0.0000, "final_energy_ha_per_atom": -0.224, "e_form_raw_mev_per_atom": 204.4}

***

{"formula": "Cr2CdGaN", "functional": "GGA-PBE", "state": "optimized geometry", "lattice_angstrom": [[4.827, 0.000, 0.000], [0.000, 4.827, 0.000], [0.000, 0.000, 4.910]], "species": ["Cr", "Cr", "Cd", "Ga", "N"], "frac_coords": [[0.000, 0.500, 0.000], [0.500, 0.000, 0.000], [0.000, 0.000, 0.500], [0.000, 0.000, 0.000], [0.500, 0.500, 0.500]], "de_polymorph_ev_per_atom": 1.5231, "final_energy_ha_per_atom": -0.168, "e_form_raw_mev_per_atom": 1727.5}